FeTeWI2: optimized geometry, GGA-PBE.

## Properties
**Calculated volume**: 33.69 Å³ per atom
**Energy relative to the elements, uncorrected**: 113 kJ per mole of atoms
**Calculated total energy**: -21.78 eV per cell

Lattice parameters (Å, degrees): 5.6842 5.6842 5.2141 90.00 90.00 90.00
Closest atoms and distances in Å follow each position.
Atoms (fractional coordinates):
Te 0.0000 0.0000 0.5000  2 W 2.61
Fe 0.5000 0.5000 0.5000  8 I 3.86, 4 Te 4.02
W 0.0000 0.0000 0.0000  2 Te 2.61, 4 I 2.84
I 0.0000 0.5000 0.0000  2 W 2.84
I 0.5000 0.0000 0.0000  2 W 2.84